A plane-wave DFT calculation with PBE was carried out for a relaxed structure of Th2ZnNi4.

## Properties
spin magnetization: 0.0 μB/f.u.
final energy: -40.96 eV/cell
formation energy: -0.246 eV per atom
ρ: 9.56 g cm⁻³

Lattice parameters (Å, degrees): 5.858 5.829 5.527 62.05 61.51 56.44
Positions (direct):
Th: 0.250 0.250 0.250
Th: 0.750 0.750 0.750
Zn: 0.000 0.000 0.000
Ni: 0.273 0.273 0.727
Ni: 0.327 0.673 0.327
Ni: 0.673 0.327 0.673
Ni: 0.727 0.727 0.273